Entry 1:
Here is a relaxed AcSi3 crystal from Alexandria via LeMat-Bulk. Energies are from PBE.

Cell and atoms, written as CIF:
```
data_AcSi3
_cell_length_a 6.5226
_cell_length_b 6.5226
_cell_length_c 4.6332
_cell_angle_alpha 90.00
_cell_angle_beta 90.00
_cell_angle_gamma 120.00
_space_group_name_H-M_alt 'P 63/m m c'
_space_group_IT_number 194
_space_group_name_Hall '-P 6c 2c'
loop_
_atom_site_label
_atom_site_fract_x
_atom_site_fract_y
_atom_site_fract_z
Ac1 0.3333 0.6667 0.2500
Si1 0.1282 0.2563 0.7500
```

Results
uncorrected energy = -43.55 eV for the cell shown
ΔE_f (raw) = -1.4 eV/f.u.



Entry 2:
Here is a relaxed Ac3Si crystal from Alexandria via LeMat-Bulk. Energies are from PBE.

Cell and atoms, written as CIF:
```
data_Ac3Si
_cell_length_a 8.2712
_cell_length_b 8.2712
_cell_length_c 8.2712
_cell_angle_alpha 90.00
_cell_angle_beta 90.00
_cell_angle_gamma 90.00
_space_group_name_H-M_alt 'F m -3 m'
_space_group_IT_number 225
_space_group_name_Hall '-F 4 2 3'
loop_
_atom_site_label
_atom_site_fract_x
_atom_site_fract_y
_atom_site_fract_z
Ac1 0.0000 0.0000 0.0000
Ac2 0.2500 0.2500 0.2500
Si1 0.0000 0.0000 0.5000
```

Results
uncorrected energy = -68.16 eV for the cell shown
ΔE_f (raw) = 0.7 eV/f.u.



Entry 3:
Here is a relaxed Ac2Si crystal from Alexandria via LeMat-Bulk. Energies are from PBE.

Cell and atoms, written as CIF:
```
data_Ac2Si
_cell_length_a 3.9701
_cell_length_b 3.9701
_cell_length_c 13.3650
_cell_angle_alpha 90.00
_cell_angle_beta 90.00
_cell_angle_gamma 90.00
_space_group_name_H-M_alt 'I 4/m m m'
_space_group_IT_number 139
_space_group_name_Hall '-I 4 2'
loop_
_atom_site_label
_atom_site_fract_x
_atom_site_fract_y
_atom_site_fract_z
Ac1 0.0000 0.0000 0.1262
Si1 0.0000 0.0000 0.5000
```

Results
uncorrected energy = -28.64 eV for the cell shown
ΔE_f (raw) = -0.7 eV/f.u.



Entry 4:
Here is a relaxed Ac3Si crystal from Alexandria via LeMat-Bulk. Energies are from PBE.

Cell and atoms, written as CIF:
```
data_Ac3Si
_cell_length_a 4.4107
_cell_length_b 13.5342
_cell_length_c 10.0099
_cell_angle_alpha 90.00
_cell_angle_beta 90.00
_cell_angle_gamma 90.00
_space_group_name_H-M_alt 'C m c m'
_space_group_IT_number 63
_space_group_name_Hall '-C 2c 2'
loop_
_atom_site_label
_atom_site_fract_x
_atom_site_fract_y
_atom_site_fract_z
Ac1 0.0000 0.0725 0.2500
Ac2 0.0000 0.3524 0.0595
Si1 0.0000 0.2558 0.7500
```

Results
uncorrected energy = -75.51 eV for the cell shown
ΔE_f (raw) = -1.1 eV/f.u.



Question: Look up the ΔE_f (raw) of the third one.
Answer: -0.7 eV/f.u.